Record 1
Below is a relaxed structure of ZnCdTc2, with properties calculated at the PBE level.

The calculation puts the total magnetic moment at 0.00 μB per cell. The value obtained for the density of states at the Fermi level is 2.5 states/eV/f.u. The total DFT energy (no corrections) comes out at -5.423 eV/atom. As for the formation energy: 308 meV/atom. The value obtained for the offset from the most stable computed form is 95 kJ/mol of formula units.

The space group is I-4m2 (No. 119) and the conventional cell measures 4.2275, 4.2275 and 6.9970 Å, with angles of 90.00, 90.00 and 90.00 degrees. The asymmetric unit holds Zn at (0.0000, 0.0000, 0.0000), Cd at (0.0000, 0.5000, 0.7500), Tc at (0.0000, 0.0000, 0.5000) and Tc at (0.0000, 0.5000, 0.2500).

Record 2
Below is a relaxed structure of ZnCdTc2, with properties calculated at the PBE level.

The calculation puts the total magnetic moment at 0.00 μB per cell. The value obtained for the density of states at the Fermi level is 5.1 states/eV/f.u. The total DFT energy (no corrections) comes out at -5.362 eV/atom. As for the formation energy: 368 meV/atom. The value obtained for the offset from the most stable computed form is 119 kJ/mol of formula units.

The space group is R-3m (No. 166, hexagonal axes) and the conventional cell measures 2.8007, 2.8007 and 27.8970 Å, with angles of 90.00, 90.00 and 120.00 degrees. The asymmetric unit holds Zn at (0.0000, 0.0000, 0.0000), Cd at (0.0000, 0.0000, 0.5000) and Tc at (0.0000, 0.0000, 0.2547).

Record 3
Below is a relaxed structure of ZnCdTc2, with properties calculated at the PBE level.

The calculation puts the total magnetic moment at 0.00 μB per cell. The value obtained for the density of states at the Fermi level is 4.5 states/eV/f.u. The total DFT energy (no corrections) comes out at -5.123 eV/atom. As for the formation energy: 607 meV/atom. The value obtained for the offset from the most stable computed form is 211 kJ/mol of formula units.

The space group is Fm-3m (No. 225) and the conventional cell measures 6.2999, 6.2999 and 6.2999 Å, with angles of 90.00, 90.00 and 90.00 degrees. The asymmetric unit holds Zn at (0.0000, 0.0000, 0.0000), Cd at (0.0000, 0.0000, 0.5000) and Tc at (0.2500, 0.2500, 0.2500).

Record 4
Below is a relaxed structure of ZnCd2Tc, with properties calculated at the PBE level.

The calculation puts the total magnetic moment at 0.02 μB per cell. The value obtained for the density of states at the Fermi level is 3.0 states/eV/f.u. The total DFT energy (no corrections) comes out at -3.079 eV/atom. As for the formation energy: 288 meV/atom.

The space group is Cmm2 (No. 35) and the conventional cell measures 3.2377, 4.6264 and 9.5351 Å, with angles of 90.00, 90.00 and 90.00 degrees. The asymmetric unit holds Zn at (0.0000, 0.0000, 0.0000), Cd at (0.0000, 0.0000, 0.5394), Cd at (0.0000, 0.5000, 0.2535) and Tc at (0.0000, 0.5000, 0.7874).

Record 5
Below is a relaxed structure of ZnCdTc2, with properties calculated at the PBE level.

The calculation puts the total magnetic moment at 0.00 μB per cell. The value obtained for the density of states at the Fermi level is 2.5 states/eV/f.u. The total DFT energy (no corrections) comes out at -5.642 eV/atom. As for the formation energy: 88 meV/atom. The value obtained for the offset from the most stable computed form is 10 kJ/mol of formula units.

The space group is R3m (No. 160, hexagonal axes) and the conventional cell measures 2.8125, 2.8125 and 28.5593 Å, with angles of 90.00, 90.00 and 120.00 degrees. The asymmetric unit holds Zn at (0.0000, 0.0000, 0.0000), Cd at (0.0000, 0.0000, 0.7617), Tc at (0.0000, 0.0000, 0.2552) and Tc at (0.0000, 0.0000, 0.5176).

Record 6
Below is a relaxed structure of ZrCdTc, with properties calculated at the PBE level.

The calculation puts the total magnetic moment at 0.00 μB per cell. The value obtained for the density of states at the Fermi level is 3.0 states/eV/f.u. The total DFT energy (no corrections) comes out at -6.182 eV/atom. As for the formation energy: 427 meV/atom. The value obtained for the offset from the most stable computed form is 125 kJ/mol of formula units.

The space group is P4/nmm (No. 129, origin choice 2) and the conventional cell measures 3.8313, 3.8313 and 9.3324 Å, with angles of 90.00, 90.00 and 90.00 degrees. The asymmetric unit holds Zr at (0.2500, 0.2500, 0.2138), Cd at (0.2500, 0.7500, 0.5000) and Tc at (0.2500, 0.7500, 0.0000).

Record 7
Below is a relaxed structure of Zr2Cd2Tc, with properties calculated at the PBE level.

The calculation puts the total magnetic moment at 2.74 μB per cell. The value obtained for the density of states at the Fermi level is 2.6 states/eV/f.u. The total DFT energy (no corrections) comes out at -5.130 eV/atom. As for the formation energy: 728 meV/atom. The value obtained for the offset from the most stable computed form is 197 kJ/mol of formula units.

The space group is I4/mmm (No. 139) and the conventional cell measures 3.9361, 3.9361 and 14.1384 Å, with angles of 90.00, 90.00 and 90.00 degrees. The asymmetric unit holds Zr at (0.0000, 0.5000, 0.2500), Cd at (0.0000, 0.0000, 0.0913) and Tc at (0.0000, 0.0000, 0.5000).

Record 8
Below is a relaxed structure of ZrCd4Tc, with properties calculated at the PBE level.

The calculation puts the total magnetic moment at 0.00 μB per cell. The value obtained for the density of states at the Fermi level is 2.9 states/eV/f.u. The total DFT energy (no corrections) comes out at -3.518 eV/atom. As for the formation energy: 244 meV/atom.

The space group is F-43m (No. 216) and the conventional cell measures 7.7895, 7.7895 and 7.7895 Å, with angles of 90.00, 90.00 and 90.00 degrees. The asymmetric unit holds Zr at (0.0000, 0.0000, 0.0000), Cd at (0.1245, 0.1245, 0.6245) and Tc at (0.2500, 0.2500, 0.2500).

Record 9
Below is a relaxed structure of Zr2Cd2Tc, with properties calculated at the PBE level.

The calculation puts the total magnetic moment at 0.00 μB per cell. The value obtained for the density of states at the Fermi level is 7.3 states/eV/f.u. The total DFT energy (no corrections) comes out at -5.537 eV/atom. As for the formation energy: 321 meV/atom. The value obtained for the offset from the most stable computed form is 0 kJ/mol of formula units.

The space group is P4/mbm (No. 127) and the conventional cell measures 7.2849, 7.2849 and 3.9034 Å, with angles of 90.00, 90.00 and 90.00 degrees. The asymmetric unit holds Zr at (0.1782, 0.3218, 0.0000), Cd at (0.1301, 0.6301, 0.5000) and Tc at (0.0000, 0.0000, 0.5000).

Record 10
Below is a relaxed structure of ZrCdTc3, with properties calculated at the PBE level.

The calculation puts the total magnetic moment at 2.34 μB per cell. The value obtained for the density of states at the Fermi level is 9.5 states/eV/f.u. The total DFT energy (no corrections) comes out at -6.031 eV/atom. As for the formation energy: 2081 meV/atom. The value obtained for the offset from the most stable computed form is 159 kJ/mol of formula units.

The space group is Pm-3m (No. 221) and the conventional cell measures 4.7903, 4.7903 and 4.7903 Å, with angles of 90.00, 90.00 and 90.00 degrees. The asymmetric unit holds Zr at (0.0000, 0.0000, 0.0000), Cd at (0.5000, 0.5000, 0.5000) and Tc at (0.0000, 0.5000, 0.5000).

Record 11
Below is a relaxed structure of ZrCdTc, with properties calculated at the PBE level.

The calculation puts the total magnetic moment at 1.58 μB per cell. The value obtained for the density of states at the Fermi level is 4.5 states/eV/f.u. The total DFT energy (no corrections) comes out at -6.081 eV/atom. As for the formation energy: 529 meV/atom. The value obtained for the offset from the most stable computed form is 154 kJ/mol of formula units.

The space group is F-43m (No. 216) and the conventional cell measures 6.4434, 6.4434 and 6.4434 Å, with angles of 90.00, 90.00 and 90.00 degrees. The asymmetric unit holds Zr at (0.0000, 0.0000, 0.0000), Cd at (0.0000, 0.0000, 0.5000) and Tc at (0.2500, 0.2500, 0.2500).

Record 12
Below is a relaxed structure of ZrCdTc, with properties calculated at the PBE level.

The calculation puts the total magnetic moment at 0.00 μB per cell. The value obtained for the density of states at the Fermi level is 3.3 states/eV/f.u. The total DFT energy (no corrections) comes out at -6.614 eV/atom. As for the formation energy: -4 meV/atom. The value obtained for the offset from the most stable computed form is 0 kJ/mol of formula units.

The space group is I4mm (No. 107) and the conventional cell measures 3.4427, 3.4427 and 9.7070 Å, with angles of 90.00, 90.00 and 90.00 degrees. The asymmetric unit holds Zr at (0.0000, 0.0000, 0.0000), Cd at (0.0000, 0.0000, 0.3068) and Tc at (0.0000, 0.0000, 0.6363).

Record 13
Below is a relaxed structure of Zr5CdTc4, with properties calculated at the PBE level.

The calculation puts the total magnetic moment at 0.00 μB per cell. The value obtained for the density of states at the Fermi level is 9.2 states/eV/f.u. The total DFT energy (no corrections) comes out at -8.842 eV/atom. As for the formation energy: -330 meV/atom.

The space group is P4/mmm (No. 123) and the conventional cell measures 3.3191, 3.3191 and 17.0978 Å, with angles of 90.00, 90.00 and 90.00 degrees. The asymmetric unit holds Zr at (0.0000, 0.0000, 0.0000), Zr at (0.0000, 0.0000, 0.1908), Zr at (0.0000, 0.0000, 0.3787), Cd at (0.5000, 0.5000, 0.5000), Tc at (0.5000, 0.5000, 0.0965) and Tc at (0.5000, 0.5000, 0.2912).

Record 14
Below is a relaxed structure of ZrCd3Tc, with properties calculated at the PBE level.

The calculation puts the total magnetic moment at 0.91 μB per cell. The value obtained for the density of states at the Fermi level is 4.2 states/eV/f.u. The total DFT energy (no corrections) comes out at -3.299 eV/atom. As for the formation energy: 1033 meV/atom. The value obtained for the offset from the most stable computed form is 0 kJ/mol of formula units.

The space group is Pm-3m (No. 221) and the conventional cell measures 5.0661, 5.0661 and 5.0661 Å, with angles of 90.00, 90.00 and 90.00 degrees. The asymmetric unit holds Zr at (0.0000, 0.0000, 0.0000), Cd at (0.0000, 0.5000, 0.5000) and Tc at (0.5000, 0.5000, 0.5000).

Record 15
Below is a relaxed structure of ZrCdTc, with properties calculated at the PBE level.

The calculation puts the total magnetic moment at 0.00 μB per cell. The value obtained for the density of states at the Fermi level is 1.9 states/eV/f.u. The total DFT energy (no corrections) comes out at -6.528 eV/atom. As for the formation energy: 82 meV/atom. The value obtained for the offset from the most stable computed form is 25 kJ/mol of formula units.

The space group is P3m1 (No. 156) and the conventional cell measures 4.7992, 4.7992 and 2.8031 Å, with angles of 90.00, 90.00 and 120.00 degrees. The asymmetric unit holds Zr at (0.0000, 0.0000, 0.0000), Cd at (0.6667, 0.3333, 0.4049) and Tc at (0.3333, 0.6667, 0.7152).

Record 16
Below is a relaxed structure of ZrCdTc3, with properties calculated at the PBE level.

The calculation puts the total magnetic moment at 3.20 μB per cell. The value obtained for the density of states at the Fermi level is 5.0 states/eV/f.u. The total DFT energy (no corrections) comes out at -6.361 eV/atom. As for the formation energy: 1751 meV/atom. The value obtained for the offset from the most stable computed form is 0 kJ/mol of formula units.

The space group is Pm-3m (No. 221) and the conventional cell measures 4.8118, 4.8118 and 4.8118 Å, with angles of 90.00, 90.00 and 90.00 degrees. The asymmetric unit holds Zr at (0.0000, 0.0000, 0.0000), Cd at (0.5000, 0.5000, 0.5000) and Tc at (0.0000, 0.0000, 0.5000).

Record 17
Below is a relaxed structure of ZrCdTc, with properties calculated at the PBE level.

The calculation puts the total magnetic moment at 0.00 μB per cell. The value obtained for the density of states at the Fermi level is 2.8 states/eV/f.u. The total DFT energy (no corrections) comes out at -6.499 eV/atom. As for the formation energy: 111 meV/atom. The value obtained for the offset from the most stable computed form is 33 kJ/mol of formula units.

The space group is Fmm2 (No. 42) and the conventional cell measures 3.4574, 4.8842 and 13.7868 Å, with angles of 90.00, 90.00 and 90.00 degrees. The asymmetric unit holds Zr at (0.0000, 0.0000, 0.0000), Cd at (0.0000, 0.0000, 0.3097) and Tc at (0.0000, 0.0000, 0.6434).

Record 18
Below is a relaxed structure of ZrCdTc4, with properties calculated at the PBE level.

The calculation puts the total magnetic moment at 0.00 μB per cell. The value obtained for the density of states at the Fermi level is 4.8 states/eV/f.u. The total DFT energy (no corrections) comes out at -8.491 eV/atom. As for the formation energy: -3 meV/atom.

The space group is F-43m (No. 216) and the conventional cell measures 7.4246, 7.4246 and 7.4246 Å, with angles of 90.00, 90.00 and 90.00 degrees. The asymmetric unit holds Zr at (0.0000, 0.0000, 0.0000), Cd at (0.2500, 0.2500, 0.2500) and Tc at (0.1243, 0.1243, 0.6243).

Record 19
Below is a relaxed structure of Zr4Cd3Tc, with properties calculated at the PBE level.

The calculation puts the total magnetic moment at 0.00 μB per cell. The value obtained for the density of states at the Fermi level is 6.2 states/eV/f.u. The total DFT energy (no corrections) comes out at -6.098 eV/atom. As for the formation energy: -185 meV/atom.

The space group is P4/mmm (No. 123) and the conventional cell measures 3.3074, 3.3074 and 15.4125 Å, with angles of 90.00, 90.00 and 90.00 degrees. The asymmetric unit holds Zr at (0.0000, 0.0000, 0.1021), Zr at (0.0000, 0.0000, 0.3669), Cd at (0.5000, 0.5000, 0.2377), Cd at (0.5000, 0.5000, 0.5000) and Tc at (0.5000, 0.5000, 0.0000).

Record 20
Below is a relaxed structure of ZrCd3Tc, with properties calculated at the PBE level.

The calculation puts the total magnetic moment at 1.84 μB per cell. The value obtained for the density of states at the Fermi level is 5.6 states/eV/f.u. The total DFT energy (no corrections) comes out at -2.676 eV/atom. As for the formation energy: 1656 meV/atom. The value obtained for the offset from the most stable computed form is 301 kJ/mol of formula units.

The space group is Pm-3m (No. 221) and the conventional cell measures 5.5012, 5.5012 and 5.5012 Å, with angles of 90.00, 90.00 and 90.00 degrees. The asymmetric unit holds Zr at (0.0000, 0.0000, 0.0000), Cd at (0.0000, 0.0000, 0.5000) and Tc at (0.5000, 0.5000, 0.5000).